{"formula": "K2ZrBr", "functional": "meta-GGA SCAN", "state": "single point on PBEsol structure", "de_polymorph_kcal_per_mol_atoms": 0.00, "space_group": "Cm (8)", "formation_energy_uncorrected_mev_per_atom": -74, "lattice": [[14.3291, 0.0000, 0.0000], [0.0000, 3.4930, 0.0000], [-2.8321, 0.0000, 5.7067]], "species": ["K", "K", "K", "K", "Zr", "Zr", "Br", "Br"], "frac_coords": [[0.0000, 0.0000, 0.0000], [0.1879, 0.0000, 0.6883], [0.5000, 0.5000, 0.0000], [0.6879, 0.5000, 0.6883], [0.2971, 0.5000, 0.2976], [0.7971, 0.0000, 0.2976], [0.4635, 0.0000, 0.4651], [0.9635, 0.5000, 0.4651]]}

{"formula": "FeMoW2", "functional": "meta-GGA SCAN", "state": "single point on PBEsol structure", "de_polymorph_kcal_per_mol_atoms": 0.00, "space_group": "Cmmm (65)", "lattice": [[3.1302, 0.0000, 0.0000], [0.0000, 4.3353, 0.0000], [0.0000, 0.0000, 8.5250]], "species": ["Fe", "Fe", "Mo", "Mo", "W", "W", "W", "W"], "frac_coords": [[0.0000, 0.0000, 0.0000], [0.5000, 0.5000, 0.0000], [0.0000, 0.0000, 0.5000], [0.5000, 0.5000, 0.5000], [0.0000, 0.5000, 0.2368], [0.0000, 0.5000, 0.7632], [0.5000, 0.0000, 0.2368], [0.5000, 0.0000, 0.7632]]}

{"formula": "LaRhPb2", "functional": "meta-GGA SCAN", "state": "single point on PBEsol structure", "space_group": "Immm (71)", "lattice": [[3.4246, 0.0000, 0.0000], [0.0000, 5.3845, 0.0000], [0.0000, 0.0000, 10.5259]], "species": ["La", "La", "Rh", "Rh", "Pb", "Pb", "Pb", "Pb"], "frac_coords": [[0.0000, 0.0000, 0.0000], [0.5000, 0.5000, 0.5000], [0.0000, 0.0000, 0.5000], [0.5000, 0.5000, 0.0000], [0.0000, 0.5000, 0.2113], [0.0000, 0.5000, 0.7887], [0.5000, 0.0000, 0.2887], [0.5000, 0.0000, 0.7113]]}

{"formula": "Ba2YSi", "functional": "meta-GGA SCAN", "state": "single point on PBEsol structure", "space_group": "R3m (160)", "formation_energy_uncorrected_mev_per_atom": -222, "lattice": [[4.8196, 0.0000, 0.0000], [-2.4098, 4.1739, 0.0000], [0.0000, 0.0000, 25.3342]], "species": ["Ba", "Ba", "Ba", "Ba", "Ba", "Ba", "Y", "Y", "Y", "Si", "Si", "Si"], "frac_coords": [[0.0000, 0.0000, 0.0000], [0.0000, 0.0000, 0.1869], [0.3333, 0.6667, 0.6667], [0.3333, 0.6667, 0.8536], [0.6667, 0.3333, 0.3333], [0.6667, 0.3333, 0.5203], [0.0000, 0.0000, 0.7614], [0.3333, 0.6667, 0.4280], [0.6667, 0.3333, 0.0947], [0.0000, 0.0000, 0.4239], [0.3333, 0.6667, 0.0905], [0.6667, 0.3333, 0.7572]]}

{"formula": "TiAlCo2Cu", "functional": "meta-GGA SCAN", "state": "single point on PBEsol structure", "space_group": "P4/mmm (123)", "lattice": [[4.0865, 0.0000, 0.0000], [0.0000, 4.0865, 0.0000], [0.0000, 0.0000, 4.8031]], "species": ["Ti", "Al", "Co", "Co", "Cu"], "frac_coords": [[0.0000, 0.0000, 0.0000], [0.0000, 0.0000, 0.5000], [0.0000, 0.5000, 0.0000], [0.5000, 0.0000, 0.0000], [0.5000, 0.5000, 0.5000]]}

{"formula": "KZrTl2", "functional": "meta-GGA SCAN", "state": "single point on PBEsol structure", "space_group": "P4/mmm (123)", "lattice": [[3.2891, 0.0000, 0.0000], [0.0000, 3.2891, 0.0000], [0.0000, 0.0000, 9.6900]], "species": ["K", "Zr", "Tl", "Tl"], "frac_coords": [[0.0000, 0.0000, 0.0000], [0.0000, 0.0000, 0.5000], [0.5000, 0.5000, 0.2817], [0.5000, 0.5000, 0.7183]]}

{"formula": "Si3Ir2", "functional": "meta-GGA SCAN", "state": "single point on PBEsol structure", "space_group": "Fdd2 (43)", "formation_energy_uncorrected_mev_per_atom": -433, "lattice": [[0.0000, 6.1984, 2.2168], [5.2009, 0.0000, 2.2168], [5.2009, 6.1984, 0.0000]], "species": ["Si", "Si", "Si", "Si", "Si", "Si", "Ir", "Ir", "Ir", "Ir"], "frac_coords": [[0.0000, 0.0000, 0.0000], [0.2500, 0.2500, 0.2500], [0.3996, 0.5311, 0.6919], [0.5311, 0.3996, 0.3774], [0.5581, 0.8726, 0.8504], [0.8726, 0.5581, 0.7189], [0.1249, 0.8479, 0.7087], [0.5413, 0.9315, 0.1251], [0.8479, 0.1249, 0.3185], [0.9315, 0.5413, 0.4021]]}

{"formula": "CuRu2Cl", "functional": "meta-GGA SCAN", "state": "single point on PBEsol structure", "de_polymorph_kcal_per_mol_atoms": 8.72, "space_group": "R-3m (166)", "formation_energy_uncorrected_mev_per_atom": 614, "lattice": [[2.7795, 0.0000, 0.0000], [-1.3898, 2.4072, 0.0000], [0.0000, 0.0000, 23.7451]], "species": ["Cu", "Cu", "Cu", "Ru", "Ru", "Ru", "Ru", "Ru", "Ru", "Cl", "Cl", "Cl"], "frac_coords": [[0.0000, 0.0000, 0.0000], [0.3333, 0.6667, 0.6667], [0.6667, 0.3333, 0.3333], [0.0000, 0.0000, 0.2481], [0.0000, 0.0000, 0.7519], [0.3333, 0.6667, 0.4185], [0.3333, 0.6667, 0.9148], [0.6667, 0.3333, 0.0852], [0.6667, 0.3333, 0.5815], [0.0000, 0.0000, 0.5000], [0.3333, 0.6667, 0.1667], [0.6667, 0.3333, 0.8333]]}

{"formula": "CsPbBr3", "functional": "meta-GGA SCAN", "state": "single point on PBEsol structure", "space_group": "Amm2 (38)", "formation_energy_uncorrected_mev_per_atom": -1408, "lattice": [[5.9531, 0.0000, 0.0000], [0.0000, 5.7239, 5.7238], [0.0000, -5.7239, 5.7238]], "species": ["Cs", "Cs", "Pb", "Pb", "Br", "Br", "Br", "Br", "Br", "Br"], "frac_coords": [[0.0000, 0.0000, 0.0000], [0.0000, 0.4930, 0.4930], [0.5000, 0.4948, 0.9935], [0.5000, 0.9935, 0.4948], [0.0000, 0.4930, 0.9949], [0.0000, 0.9949, 0.4930], [0.5000, 0.1782, 0.8104], [0.5000, 0.3082, 0.3082], [0.5000, 0.6761, 0.6761], [0.5000, 0.8104, 0.1782]]}

{"formula": "TlCd2Sn2", "functional": "meta-GGA SCAN", "state": "single point on PBEsol structure", "de_polymorph_kcal_per_mol_atoms": 1.62, "space_group": "P4/mbm (127)", "lattice": [[8.9617, 0.0000, 0.0000], [0.0000, 8.9617, 0.0000], [0.0000, 0.0000, 3.1984]], "species": ["Tl", "Tl", "Cd", "Cd", "Cd", "Cd", "Sn", "Sn", "Sn", "Sn"], "frac_coords": [[0.0000, 0.0000, 0.0000], [0.5000, 0.5000, 0.0000], [0.1493, 0.3507, 0.5000], [0.3507, 0.8507, 0.5000], [0.6493, 0.1493, 0.5000], [0.8507, 0.6493, 0.5000], [0.1475, 0.6475, 0.0000], [0.3525, 0.1475, 0.0000], [0.6475, 0.8525, 0.0000], [0.8525, 0.3525, 0.0000]]}

{"formula": "MnGe2PtO", "functional": "meta-GGA SCAN", "state": "single point on PBEsol structure", "space_group": "P4/mmm (123)", "formation_energy_uncorrected_mev_per_atom": 123, "lattice": [[4.3660, 0.0000, 0.0000], [0.0000, 4.3660, 0.0000], [0.0000, 0.0000, 4.0301]], "species": ["Mn", "Ge", "Ge", "Pt", "O"], "frac_coords": [[0.0000, 0.0000, 0.0000], [0.0000, 0.5000, 0.5000], [0.5000, 0.0000, 0.5000], [0.5000, 0.5000, 0.0000], [0.5000, 0.5000, 0.5000]]}

{"formula": "Ag2AsO", "functional": "meta-GGA SCAN", "state": "single point on PBEsol structure", "space_group": "I-42d (122)", "formation_energy_uncorrected_mev_per_atom": 120, "lattice": [[6.6876, 0.0000, 0.0000], [0.0000, 6.6876, 0.0000], [0.0000, 0.0000, 5.3437]], "species": ["Ag", "Ag", "Ag", "Ag", "Ag", "Ag", "Ag", "Ag", "As", "As", "As", "As", "O", "O", "O", "O"], "frac_coords": [[0.2075, 0.7500, 0.1250], [0.2500, 0.2075, 0.8750], [0.2500, 0.2925, 0.3750], [0.2925, 0.7500, 0.6250], [0.7075, 0.2500, 0.6250], [0.7500, 0.7075, 0.3750], [0.7500, 0.7925, 0.8750], [0.7925, 0.2500, 0.1250], [0.0000, 0.0000, 0.5000], [0.0000, 0.5000, 0.7500], [0.5000, 0.0000, 0.2500], [0.5000, 0.5000, 0.0000], [0.0000, 0.0000, 0.0000], [0.0000, 0.5000, 0.2500], [0.5000, 0.0000, 0.7500], [0.5000, 0.5000, 0.5000]]}

What DFT total energy values result from the calculations? In sequence: -1.233; -3.529; -4.229; -2.165; -0.984; -3.384; -2.564; -1.661; -2.631; -3.006; -1.944; -1.629 Ry per atom.
What total magnetization values result from the calculations? In sequence: 3.6; 2.2; 0.0; 0.8; 0.0; 0.0; 0.0; 0.0; 0.0; 0.0; 4.1; 0.0 μB per formula unit.